# 1
VASP calculation (PBE) on TbPr4Nd2Sc after structural relaxation.

```
TbPr4Nd2Sc
1.0
5.108 0.000 0.000
0.000 5.182 0.000
-0.002 0.000 10.228
Tb Pr Nd Sc
1 4 2 1
direct
0.000 0.000 0.000
0.003 0.500 0.255
0.498 0.000 0.746
0.502 0.000 0.254
0.997 0.500 0.745
0.000 0.000 0.500
0.500 0.500 0.000
0.500 0.500 0.500
```

Size of the total moment ... 0.0 μB/f.u.
ρ ... 6477 kg/m³
Formation energy ... 3.6 meV/atom

=====

# 2
VASP calculation (PBE) on Tb2PrNd5Sc after structural relaxation.

```
Tb2PrNd5Sc
1.0
2.703 -11.032 0.000
2.703 11.032 0.000
0.000 0.000 10.313
Tb Pr Nd Sc
4 2 10 2
direct
0.116 0.884 0.500
0.117 0.883 0.999
0.883 0.117 0.499
0.884 0.116 0.000
0.399 0.601 0.750
0.601 0.399 0.250
0.002 0.998 0.750
0.278 0.722 0.562
0.278 0.722 0.939
0.374 0.626 0.250
0.500 0.500 0.000
0.500 0.500 0.500
0.626 0.374 0.750
0.722 0.278 0.062
0.722 0.278 0.439
0.998 0.002 0.250
0.216 0.784 0.250
0.784 0.216 0.750
```

Size of the total moment ... 0.0 μB/f.u.
ρ ... 6614 kg/m³
Formation energy ... 128.6 meV/atom

=====

# 3
VASP calculation (PBE) on Tb6Pr2Nd3Sc after structural relaxation.

```
Tb6Pr2Nd3Sc
1.0
3.111 -5.387 0.000
3.111 5.387 0.000
-2.071 0.000 11.724
Tb Pr Nd Sc
6 2 3 1
direct
0.082 0.412 0.247
0.248 0.248 0.752
0.412 0.082 0.247
0.588 0.918 0.753
0.752 0.752 0.248
0.918 0.588 0.753
0.334 0.666 0.000
0.666 0.334 0.000
0.167 0.833 0.500
0.500 0.500 0.500
0.833 0.167 0.500
0.000 0.000 0.000
```

Size of the total moment ... 0.0 μB/f.u.
ρ ... 7238 kg/m³
Formation energy ... 24.5 meV/atom

=====

# 4
VASP calculation (PBE) on Tb3PrNdSc after structural relaxation.

```
Tb3PrNdSc
1.0
2.520 -7.544 0.000
2.520 7.544 0.000
0.000 0.000 10.063
Tb Pr Nd Sc
6 2 2 2
direct
0.169 0.831 0.000
0.169 0.831 0.500
0.329 0.671 0.750
0.671 0.329 0.250
0.831 0.169 0.000
0.831 0.169 0.500
0.500 0.500 0.000
0.500 0.500 0.500
0.002 0.998 0.750
0.998 0.002 0.250
0.331 0.669 0.250
0.669 0.331 0.750
```

Size of the total moment ... 0.0 μB/f.u.
ρ ... 7004 kg/m³
Formation energy ... 40.9 meV/atom

=====

# 5
VASP calculation (PBE) on TbPrNdSc after structural relaxation.

```
TbPrNdSc
1.0
0.000 3.997 3.997
3.997 0.000 3.997
3.997 3.997 0.000
Tb Pr Nd Sc
1 1 1 1
direct
0.000 0.000 0.000
0.750 0.750 0.750
0.250 0.250 0.250
0.500 0.500 0.500
```

Size of the total moment ... 0.0 μB/f.u.
Energy above the lowest structure with this stoichiometry ... 0.006 eV/atom
ρ ... 6359 kg/m³
Formation energy ... 105.7 meV/atom

=====

# 6
VASP calculation (PBE) on Tb4Pr2NdSc after structural relaxation.

```
Tb4Pr2NdSc
1.0
5.062 0.000 0.000
0.000 5.062 0.000
0.000 0.000 10.120
Tb Pr Nd Sc
4 2 1 1
direct
0.000 0.500 0.243
0.000 0.500 0.757
0.500 0.000 0.243
0.500 0.000 0.757
0.000 0.000 0.000
0.500 0.500 0.500
0.000 0.000 0.500
0.500 0.500 0.000
```

Size of the total moment ... 0.0 μB/f.u.
ρ ... 7088 kg/m³
Formation energy ... 34.6 meV/atom

=====

# 7
VASP calculation (PBE) on Tb3Pr6Nd2Sc after structural relaxation.

```
Tb3Pr6Nd2Sc
1.0
3.155 -5.467 0.000
3.155 5.467 0.000
-2.108 0.000 11.776
Tb Pr Nd Sc
3 6 2 1
direct
0.000 0.000 0.000
0.334 0.666 0.000
0.666 0.334 0.000
0.088 0.417 0.250
0.253 0.253 0.750
0.417 0.088 0.250
0.583 0.912 0.750
0.747 0.747 0.250
0.912 0.583 0.750
0.167 0.833 0.500
0.833 0.167 0.500
0.500 0.500 0.500
```

Size of the total moment ... 0.0 μB/f.u.
ρ ... 6767 kg/m³
Formation energy ... 24.3 meV/atom

=====

# 8
VASP calculation (PBE) on TbPr2Nd4Sc after structural relaxation.

```
TbPr2Nd4Sc
1.0
5.115 0.000 0.000
0.000 5.140 0.000
-0.013 0.000 10.224
Tb Pr Nd Sc
1 2 4 1
direct
0.000 0.000 0.000
0.000 0.000 0.500
0.500 0.500 0.000
0.001 0.500 0.255
0.500 0.000 0.254
0.500 0.000 0.746
0.999 0.500 0.745
0.500 0.500 0.500
```

Size of the total moment ... 0.0 μB/f.u.
ρ ... 6565 kg/m³
Formation energy ... 30.4 meV/atom

=====

# 9
VASP calculation (PBE) on TbPr2NdSc after structural relaxation.

```
TbPr2NdSc
1.0
6.334 0.000 0.000
0.000 7.834 0.000
0.000 0.000 6.693
Tb Pr Nd Sc
2 4 2 2
direct
0.250 0.000 0.094
0.750 0.000 0.906
0.250 0.293 0.720
0.250 0.707 0.720
0.750 0.293 0.280
0.750 0.707 0.280
0.250 0.500 0.197
0.750 0.500 0.803
0.000 0.000 0.500
0.500 0.000 0.500
```

Size of the total moment ... 0.0 μB/f.u.
ρ ... 6299 kg/m³
Formation energy ... 187.5 meV/atom

=====

# 10
VASP calculation (PBE) on TbPrNdSc after structural relaxation.

```
TbPrNdSc
1.0
6.162 -2.877 0.000
6.162 2.877 0.000
-1.156 0.000 3.620
Tb Pr Nd Sc
1 1 1 1
direct
0.000 0.000 0.000
0.458 0.458 0.453
0.733 0.733 0.267
0.227 0.227 0.738
```

Size of the total moment ... 0.0 μB/f.u.
Energy above the lowest structure with this stoichiometry ... 0.000 eV/atom
ρ ... 6326 kg/m³
Formation energy ... 99.6 meV/atom

=====

# 11
VASP calculation (PBE) on Tb2Pr4NdSc after structural relaxation.

```
Tb2Pr4NdSc
1.0
5.966 0.000 0.000
0.000 5.966 0.000
0.000 0.000 7.501
Tb Pr Nd Sc
2 4 1 1
direct
0.000 0.000 0.000
0.500 0.500 0.000
0.000 0.500 0.256
0.000 0.500 0.744
0.500 0.000 0.256
0.500 0.000 0.744
0.000 0.000 0.500
0.500 0.500 0.500
```

Size of the total moment ... 0.0 μB/f.u.
ρ ... 6659 kg/m³
Formation energy ... 106.5 meV/atom

=====

# 12
VASP calculation (PBE) on Pr2NdScTe4 after structural relaxation.

```
Pr2NdScTe4
1.0
7.697 0.000 0.000
0.000 4.385 0.000
-2.503 0.000 7.340
Pr Nd Sc Te
2 1 1 4
direct
0.000 0.000 0.000
0.500 0.500 0.000
0.000 0.500 0.500
0.500 0.000 0.500
0.258 0.000 0.738
0.269 0.500 0.270
0.731 0.500 0.730
0.742 0.000 0.262
```

ΔE_f (raw) ... -1330 meV per atom
Size of the total moment ... 0.0 μB/f.u.
ρ ... 6579 kg/m³

=====

# 13
VASP calculation (PBE) on Pr3Nd4ScTe8 after structural relaxation.

```
Pr3Nd4ScTe8
1.0
4.482 2.588 7.302
-4.482 2.588 7.302
0.000 -5.175 7.302
Pr Nd Sc Te
3 4 1 8
direct
0.000 0.500 0.500
0.500 0.000 0.500
0.500 0.500 0.000
0.000 0.000 0.500
0.000 0.500 0.000
0.500 0.000 0.000
0.500 0.500 0.500
0.000 0.000 0.000
0.239 0.759 0.759
0.241 0.241 0.761
0.241 0.761 0.241
0.249 0.249 0.249
0.751 0.751 0.751
0.759 0.239 0.759
0.759 0.759 0.239
0.761 0.241 0.241
```

ΔE_f (raw) ... -1369 meV per atom
Size of the total moment ... 0.0 μB/f.u.
ρ ... 6750 kg/m³

=====

# 14
VASP calculation (PBE) on Pr2NdScTl2 after structural relaxation.

```
Pr2NdScTl2
1.0
5.068 0.000 0.000
0.000 10.059 0.000
0.000 0.000 7.141
Pr Nd Sc Tl
4 2 2 4
direct
0.000 0.052 0.000
0.000 0.948 0.500
0.500 0.184 0.285
0.500 0.816 0.785
0.500 0.452 0.905
0.500 0.548 0.405
0.000 0.310 0.608
0.000 0.690 0.108
0.000 0.386 0.181
0.000 0.614 0.681
0.500 0.150 0.735
0.500 0.850 0.235
```

Size of the total moment ... 0.0 μB/f.u.
ρ ... 8026 kg/m³
Formation energy ... -254.7 meV/atom

=====

# 15
VASP calculation (PBE) on PrNd2ScTl2 after structural relaxation.

```
PrNd2ScTl2
1.0
5.070 0.000 0.000
0.000 10.037 0.000
0.000 0.000 7.121
Pr Nd Sc Tl
2 4 2 4
direct
0.000 0.048 0.000
0.000 0.952 0.500
0.000 0.317 0.383
0.000 0.683 0.883
0.500 0.448 0.095
0.500 0.552 0.595
0.500 0.192 0.705
0.500 0.808 0.205
0.000 0.354 0.831
0.000 0.646 0.331
0.500 0.118 0.278
0.500 0.882 0.778
```

Size of the total moment ... 0.0 μB/f.u.
ρ ... 8094 kg/m³
Formation energy ... -253.6 meV/atom

=====

# 16
VASP calculation (PBE) on PrNdScTl after structural relaxation.

```
PrNdScTl
1.0
0.000 3.903 3.903
3.903 0.000 3.903
3.903 3.903 0.000
Pr Nd Sc Tl
1 1 1 1
direct
0.000 0.000 0.000
0.500 0.500 0.500
0.250 0.250 0.250
0.750 0.750 0.750
```

Size of the total moment ... 1.2 μB/f.u.
Energy above the lowest structure with this stoichiometry ... 0.062 eV/atom
ρ ... 7465 kg/m³
Formation energy ... -81.6 meV/atom

=====

# 17
VASP calculation (PBE) on PrNdScTl after structural relaxation.

```
PrNdScTl
1.0
4.827 0.000 0.000
0.000 4.827 0.000
0.000 0.000 9.873
Pr Nd Sc Tl
2 2 2 2
direct
0.250 0.750 0.000
0.750 0.250 0.000
0.250 0.250 0.259
0.750 0.750 0.741
0.250 0.750 0.500
0.750 0.250 0.500
0.250 0.250 0.719
0.750 0.750 0.281
```

Size of the total moment ... 0.8 μB/f.u.
Energy above the lowest structure with this stoichiometry ... 0.000 eV/atom
ρ ... 7716 kg/m³
Formation energy ... -143.8 meV/atom

=====

# 18
VASP calculation (PBE) on PrNd3Tm6Sc2 after structural relaxation.

```
PrNd3Tm6Sc2
1.0
3.048 -5.279 0.000
3.048 5.279 0.000
-2.029 0.000 11.458
Pr Nd Tm Sc
1 3 6 2
direct
0.000 0.000 0.000
0.167 0.833 0.500
0.500 0.500 0.500
0.833 0.167 0.500
0.082 0.418 0.244
0.255 0.255 0.756
0.418 0.082 0.244
0.582 0.918 0.756
0.745 0.745 0.244
0.918 0.582 0.756
0.333 0.667 0.000
0.667 0.333 0.000
```

Size of the total moment ... 0.0 μB/f.u.
ρ ... 7553 kg/m³
Formation energy ... 42.6 meV/atom

=====

# 19
VASP calculation (PBE) on PrNdTmSc after structural relaxation.

```
PrNdTmSc
1.0
6.104 -2.853 0.000
6.104 2.853 0.000
-1.193 0.000 3.630
Pr Nd Tm Sc
1 1 1 1
direct
0.000 0.000 0.000
0.275 0.275 0.778
0.538 0.538 0.538
0.764 0.764 0.266
```

Size of the total moment ... 0.0 μB/f.u.
Energy above the lowest structure with this stoichiometry ... 0.005 eV/atom
ρ ... 6554 kg/m³
Formation energy ... 93.4 meV/atom

=====

# 20
VASP calculation (PBE) on Pr2Nd4TmSc after structural relaxation.

```
Pr2Nd4TmSc
1.0
5.104 0.000 0.000
0.000 5.139 0.000
-0.012 0.000 10.164
Pr Nd Tm Sc
2 4 1 1
direct
0.000 0.000 0.000
0.500 0.500 0.500
0.000 0.500 0.253
0.000 0.500 0.747
0.499 0.000 0.746
0.501 0.000 0.254
0.500 0.500 0.000
0.000 0.000 0.500
```

Size of the total moment ... 0.0 μB/f.u.
ρ ... 6680 kg/m³
Formation energy ... 31.7 meV/atom

=====

| no. | volume (Å³/atom) |
| --- | --- |
| 1 | 33.84 |
| 2 | 34.17 |
| 3 | 32.75 |
| 4 | 31.88 |
| 5 | 31.92 |
| 6 | 32.41 |
| 7 | 33.86 |
| 8 | 33.60 |
| 9 | 33.21 |
| 10 | 32.09 |
| 11 | 33.37 |
| 12 | 30.96 |
| 13 | 31.76 |
| 14 | 30.34 |
| 15 | 30.20 |
| 16 | 29.72 |
| 17 | 28.76 |
| 18 | 30.73 |
| 19 | 31.61 |
| 20 | 33.33 |